Record 1
An optimized crystal structure of SrMg2CuAu4, computed with PBE-GGA.

uncorrected energy	-26.03	eV/f.u.
formation energy	-0.4946	eV per atom
SG	R-3m, No. 166

Cell and atoms, written as POSCAR:
```
SrMg2CuAu4
1.0
-3.310 1.254 2.923
-2.143 -3.168 2.538
4.452 0.439 8.459
Sr Mg Cu Au
1 2 1 4
direct
0.000 0.000 0.000
0.768 0.768 0.697
0.232 0.232 0.303
0.500 0.500 0.500
0.404 0.404 0.787
0.869 0.869 0.393
0.131 0.131 0.607
0.596 0.596 0.213
```

***

Record 2
An optimized crystal structure of Er6Cd2Ag, computed with PBE-GGA.

uncorrected energy	-32.75	eV/f.u.
formation energy	-0.0764	eV per atom
SG	P2_1/c, No. 14

Cell and atoms, written as POSCAR:
```
Er6Cd2Ag
1.0
-6.058 1.137 0.264
-1.165 -4.340 -8.044
-2.578 -7.397 4.364
Er Cd Ag
12 4 2
direct
0.885 0.967 0.195
0.905 0.672 0.541
0.921 0.683 0.943
0.579 0.183 0.557
0.595 0.172 0.959
0.615 0.467 0.305
0.115 0.033 0.805
0.095 0.328 0.459
0.079 0.317 0.057
0.421 0.817 0.443
0.405 0.828 0.041
0.385 0.533 0.695
0.872 0.393 0.765
0.628 0.893 0.735
0.372 0.107 0.265
0.128 0.607 0.235
0.500 0.500 0.000
0.000 0.000 0.500
```

***

Record 3
An optimized crystal structure of MnFeTe2, computed with PBE-GGA.

uncorrected energy	-23.84	eV/f.u.
energy relative to the elements, uncorrected	1.9	kJ/mol of atoms
SG	P4mm, No. 99

Cell and atoms, written as POSCAR:
```
MnFeTe2
1.0
3.381 0.000 0.000
0.000 3.381 0.000
0.000 0.000 7.498
Fe Mn Te
1 1 2
direct
0.000 0.000 0.536
0.500 0.500 0.715
0.000 0.000 0.892
0.500 0.500 0.357
```

***

Record 4
An optimized crystal structure of Ho5ScTl6, computed with PBE-GGA.

uncorrected energy	-47.13	eV/f.u.
formation energy	-0.3093	eV per atom
SG	C2/m, No. 12

Cell and atoms, written as POSCAR:
```
Ho5ScTl6
1.0
-3.383 -2.923 2.879
-5.785 -6.320 -3.333
2.723 -8.775 -0.767
Ho Sc Tl
5 1 6
direct
0.500 0.169 0.663
0.000 0.334 0.332
0.500 0.500 0.000
0.000 0.666 0.668
0.500 0.831 0.337
0.000 0.000 0.000
0.755 0.082 0.327
0.245 0.591 0.327
0.259 0.241 0.000
0.741 0.759 0.000
0.755 0.409 0.673
0.245 0.918 0.673
```

***

Record 5
An optimized crystal structure of Re2Cl, computed with PBE-GGA.

uncorrected energy	-25.55	eV/f.u.
energy relative to the elements, uncorrected	38.3	kJ/mol of atoms
SG	P-3m1, No. 164

Cell and atoms, written as POSCAR:
```
Re2Cl
1.0
-2.243 -0.520 1.729
0.876 -2.010 -1.866
3.946 -2.368 4.404
Cl Re
1 2
direct
0.000 0.000 0.000
0.667 0.333 0.659
0.333 0.667 0.341
```

***

Record 6
An optimized crystal structure of Ac6SmSe8, computed with PBE-GGA.

uncorrected energy	-85.77	eV/f.u.
energy relative to the elements, uncorrected	-183.5	kJ/mol of atoms
SG	Fm-3m, No. 225

Cell and atoms, written as POSCAR:
```
Ac6SmSe8
1.0
-8.540 2.240 0.900
-6.225 -4.280 -4.657
-5.620 -5.500 4.112
Ac Sm Se
6 1 8
direct
0.000 0.500 0.500
0.500 0.000 0.000
0.500 0.500 0.000
0.000 0.000 0.500
0.000 0.500 0.000
0.500 0.000 0.500
0.000 0.000 0.000
0.750 0.750 0.750
0.250 0.250 0.250
0.760 0.240 0.240
0.240 0.760 0.760
0.240 0.240 0.760
0.760 0.760 0.240
0.760 0.240 0.760
0.240 0.760 0.240
```